A relaxed structure of Na2Te2S3. Source: Alexandria, functional PBE.

Summary:
Calculated total energy = -0.1264 Ha/atom
Formation energy without anion corrections = -0.39 eV/atom
Space-group type = No. 14

```
Na2Te2S3
1.0
8.415 0.000 -1.730
0.000 6.741 0.000
2.301 0.000 5.746
S Na Te
6 4 4
Cartesian
4.208 3.370 -0.865 S
3.722 0.012 1.229 S
7.930 3.359 0.364 S
0.000 0.000 0.000 S
6.995 6.729 2.787 S
2.787 3.382 3.652 S
4.698 5.596 4.472 Na
8.906 4.516 3.608 Na
1.811 2.225 0.409 Na
6.019 1.145 -0.456 Na
5.411 1.814 2.953 Te
5.305 4.927 1.064 Te
9.619 1.556 2.088 Te
1.098 5.184 1.929 Te
```


A relaxed structure of MnTl2S3. Source: Alexandria, functional PBE.

Summary:
Calculated total energy = -0.1752 Ha/atom
Formation energy without anion corrections = -0.39 eV/atom
Space-group type = No. 15
Energy above the most stable polymorph in this dataset = 0.000 eV per formula unit

```
MnTl2S3
1.0
-4.410 -1.994 4.242
4.716 -1.757 5.103
1.049 5.362 4.638
Tl S Mn
4 6 2
Cartesian
-1.506 0.962 6.150 Tl
-0.429 1.756 9.818 Tl
1.783 -0.145 4.166 Tl
2.860 0.649 7.834 Tl
-1.313 -0.730 3.363 S
2.668 2.342 10.621 S
5.095 2.907 8.528 S
1.216 2.400 5.860 S
-3.741 -1.296 5.456 S
0.139 -0.789 8.124 S
0.202 4.369 5.731 Mn
1.153 -2.757 8.253 Mn
```


A relaxed structure of K2ZnSb. Source: Alexandria, functional PBE.

Summary:
Calculated total energy = -0.0726 Ha/atom
Formation energy without anion corrections = -0.08 eV/atom
Space-group type = No. 139
Energy above the most stable polymorph in this dataset = 0.656 eV per formula unit

```
K2ZnSb
1.0
-3.173 5.230 0.593
-2.345 -0.051 5.680
5.784 -0.897 -1.873
Zn K Sb
1 2 1
Cartesian
0.340 0.821 3.472 Zn
-0.001 0.001 0.001 K
-2.758 2.588 3.136 K
-0.074 3.461 0.928 Sb
```


Question: Look up the formation energy without anion corrections of the third one.
Answer: -0.08 eV/atom